DFT (PBE-GGA) results for crystalline Pb3W at its relaxed geometry.

Cell: 5.738 5.738 3.189 Å, 90.00 90.00 106.61°
Sites, in units of the cell vectors:
Pb 0.000 0.000 0.000
Pb 0.000 0.500 0.500
Pb 0.500 0.000 0.500
W 0.500 0.500 0.000

For the magnetization, the calculation gives 0.000 μB per atom. As for the energy relative to the lowest polymorph listed for this composition: 54.5 kJ per mole of atoms. For the formation energy, the calculation gives 1.022 eV/atom.